(1)
! Rb2ScI6F | Alexandria | PBE-GGA | optimized geometry; values from VASP
! Space-group type: I4/mmm
! Energy relative to the elements, uncorrected, eV per formula unit: -10.6
! Energy, eV/atom: -3.0086
&SYSTEM
  ibrav = 0, nat = 10, ntyp = 4
/
ATOMIC_SPECIES
F 19.00 F.upf
I 126.90 I.upf
Sc 44.96 Sc.upf
Rb 85.47 Rb.upf
ATOMIC_POSITIONS crystal
F 0.5000 0.5000 0.0000
I 0.2573 0.2573 0.0000
Sc 0.0000 0.0000 0.0000
Rb 0.7500 0.2500 0.5000
I 0.7427 0.2573 0.0000
I 0.7760 0.7760 0.4480
I 0.2240 0.2240 0.5520
I 0.2573 0.7427 0.0000
Rb 0.2500 0.7500 0.5000
I 0.7427 0.7427 0.0000
CELL_PARAMETERS angstrom
7.9104 0.0000 0.0000
0.0000 7.9104 0.0000
3.9552 3.9552 6.4544


(2)
! Rb2SiIF6 | Alexandria | PBE-GGA | optimized geometry; values from VASP
! Space-group type: I4/mmm
! Energy relative to the elements, uncorrected, eV per formula unit: -26.3
! Energy, eV/atom: -4.6389
&SYSTEM
  ibrav = 0, nat = 10, ntyp = 4
/
ATOMIC_SPECIES
F 19.00 F.upf
Rb 85.47 Rb.upf
I 126.90 I.upf
Si 28.09 Si.upf
ATOMIC_POSITIONS crystal
F 0.3262 0.6738 0.0000
F 0.6738 0.6738 0.0000
F 0.6738 0.3262 0.0000
F 0.3059 0.3059 0.3881
Rb 0.2500 0.7500 0.5000
F 0.6941 0.6941 0.6119
I 0.0000 0.0000 0.0000
Si 0.5000 0.5000 0.0000
F 0.3262 0.3262 0.0000
Rb 0.7500 0.2500 0.5000
CELL_PARAMETERS angstrom
6.9637 0.0000 0.0000
0.0000 6.9637 0.0000
3.4819 3.4819 4.4687


(3)
! Rb2SnI2F2 | Alexandria | PBE-GGA | optimized geometry; values from VASP
! Space-group type: I4/mmm
! Energy relative to the elements, uncorrected, eV per formula unit: -12.5
! Energy, eV/atom: -3.6116
&SYSTEM
  ibrav = 0, nat = 7, ntyp = 4
/
ATOMIC_SPECIES
Sn 118.71 Sn.upf
F 19.00 F.upf
I 126.90 I.upf
Rb 85.47 Rb.upf
ATOMIC_POSITIONS crystal
Sn 0.0000 0.0000 0.0000
F 0.0000 0.5000 0.0000
I 0.1706 0.1706 0.3413
I 0.8294 0.8294 0.6587
Rb 0.6162 0.6162 0.2323
Rb 0.3838 0.3838 0.7677
F 0.5000 0.0000 0.0000
CELL_PARAMETERS angstrom
-3.6917 2.9636 1.3707
-3.0195 -2.3110 -3.1356
0.9725 -6.4407 7.6839


(4)
! Rb3SnI2F6 | Alexandria | PBE-GGA | optimized geometry; values from VASP
! Space-group type: C2/m
! Energy relative to the elements, uncorrected, eV per formula unit: -26.5
! Energy, eV/atom: -3.9754
&SYSTEM
  ibrav = 0, nat = 12, ntyp = 4
/
ATOMIC_SPECIES
Rb 85.47 Rb.upf
F 19.00 F.upf
I 126.90 I.upf
Sn 118.71 Sn.upf
ATOMIC_POSITIONS crystal
Rb 0.0000 0.5000 0.0000
F 0.6779 0.8362 0.0941
I 0.9838 0.2564 0.5128
F 0.3664 0.1214 0.2429
Rb 0.5000 0.0000 0.5000
F 0.3221 0.1638 0.9059
Sn 0.5000 0.0000 0.0000
F 0.6336 0.8786 0.7571
Rb 0.5000 0.5000 0.5000
F 0.6779 0.2579 0.0941
F 0.3221 0.7421 0.9059
I 0.0162 0.7436 0.4872
CELL_PARAMETERS angstrom
6.7470 0.0000 0.4409
0.0000 6.8480 0.0000
-0.3561 -3.4240 7.4729


(5)
! RbSnIF2 | Alexandria | PBE-GGA | optimized geometry; values from VASP
! Space-group type: P2_1/m
! Energy relative to the elements, uncorrected, eV per formula unit: -9.9
! Energy, eV/atom: -4.0344
&SYSTEM
  ibrav = 0, nat = 10, ntyp = 4
/
ATOMIC_SPECIES
Rb 85.47 Rb.upf
F 19.00 F.upf
I 126.90 I.upf
Sn 118.71 Sn.upf
ATOMIC_POSITIONS crystal
Rb 0.7500 0.3094 0.0848
F 0.7500 0.4967 0.8069
F 0.7500 0.5485 0.4345
F 0.2500 0.5033 0.1931
Rb 0.2500 0.6906 0.9152
F 0.2500 0.4515 0.5655
I 0.2500 0.0933 0.7612
I 0.7500 0.9067 0.2388
Sn 0.2500 0.6746 0.4166
Sn 0.7500 0.3254 0.5834
CELL_PARAMETERS angstrom
-0.9996 2.4030 -3.7048
1.7340 -6.2226 -4.5040
-8.3253 -1.2610 1.4283


(6)
! RbSrIF2 | Alexandria | PBE-GGA | optimized geometry; values from VASP
! Space-group type: P4/mmm
! Energy relative to the elements, uncorrected, eV per formula unit: -13.6
! Energy, eV/atom: -4.3136
&SYSTEM
  ibrav = 0, nat = 5, ntyp = 4
/
ATOMIC_SPECIES
F 19.00 F.upf
I 126.90 I.upf
Rb 85.47 Rb.upf
Sr 87.62 Sr.upf
ATOMIC_POSITIONS crystal
F 0.5000 0.0000 0.0000
I 0.0000 0.0000 0.5000
F 0.0000 0.5000 0.0000
Rb 0.5000 0.5000 0.5000
Sr 0.0000 0.0000 0.0000
CELL_PARAMETERS angstrom
-3.9488 -0.9284 -2.7182
0.1570 -4.6837 1.3718
-3.9657 1.4131 5.2785


(7)
! Rb2SrIF6 | Alexandria | PBE-GGA | optimized geometry; values from VASP
! Space-group type: I4/mmm
! Energy relative to the elements, uncorrected, eV per formula unit: -24.1
! Energy, eV/atom: -4.0486
&SYSTEM
  ibrav = 0, nat = 10, ntyp = 4
/
ATOMIC_SPECIES
I 126.90 I.upf
F 19.00 F.upf
Rb 85.47 Rb.upf
Sr 87.62 Sr.upf
ATOMIC_POSITIONS crystal
I 0.0000 0.0000 0.0000
F 0.2728 0.7272 0.0000
Rb 0.7500 0.2500 0.5000
F 0.2728 0.2728 0.0000
Sr 0.5000 0.5000 0.0000
F 0.7272 0.7272 0.0000
F 0.7700 0.7700 0.4601
F 0.2300 0.2300 0.5399
F 0.7272 0.2728 0.0000
Rb 0.2500 0.7500 0.5000
CELL_PARAMETERS angstrom
7.3206 0.0000 0.0000
0.0000 7.3206 0.0000
3.6603 3.6603 4.4995


(8)
! RbSrI2F | Alexandria | PBE-GGA | optimized geometry; values from VASP
! Space-group type: P4/mmm
! Energy relative to the elements, uncorrected, eV per formula unit: -11.1
! Energy, eV/atom: -3.7366
&SYSTEM
  ibrav = 0, nat = 5, ntyp = 4
/
ATOMIC_SPECIES
F 19.00 F.upf
I 126.90 I.upf
Sr 87.62 Sr.upf
Rb 85.47 Rb.upf
ATOMIC_POSITIONS crystal
F 0.0000 0.0000 0.5000
I 0.0000 0.5000 0.0000
Sr 0.0000 0.0000 0.0000
Rb 0.5000 0.5000 0.5000
I 0.5000 0.0000 0.0000
CELL_PARAMETERS angstrom
6.6194 0.0000 0.0000
0.0000 6.6194 0.0000
0.0000 0.0000 4.6609